VASP calculation (GGA-PBEsol) on KNa2MgOs after structural relaxation.

Computed properties:
- space-group type = No. 123
- DOS(E_F) (states/eV per atom) = 1.499
- E_tot (eV per atom) = -2.18
- formation energy from the elements (meV per atom) = 1390

abc: 5.5924 5.5924 5.8419
angles: 90.00 90.00 90.00
Atoms (fractional coordinates):
Na1 0.0000 0.5000 0.0000
Na2 0.5000 0.0000 0.0000
K1 0.0000 0.0000 0.5000
Os1 0.0000 0.0000 0.0000
Mg1 0.5000 0.5000 0.5000